No. 1
Entry from the Alexandria database: a geometry-optimized MgHgPt2 structure (PBE).

a = 4.6105 Å, b = 4.6105 Å, c = 4.6105 Å
α = 60.00°, β = 60.00°, γ = 60.00°
Atoms (fractional coordinates):
Mg (0.0000, 0.0000, 0.0000)
Hg (0.2500, 0.2500, 0.2500)
Pt (0.5000, 0.5000, 0.5000)
Pt (0.7500, 0.7500, 0.7500)

Output
DOS(E_F) = 0.485 states/eV/atom
ΔE_f = -0.30 eV per atom
volume = 69.3 Å³ per cell


No. 2
Entry from the Alexandria database: a geometry-optimized LiCu7Pd4 structure (PBE).

a = 6.4220 Å, b = 6.4220 Å, c = 8.8792 Å
α = 126.30°, β = 126.30°, γ = 37.86°
Atoms (fractional coordinates):
Li (0.0000, 0.0000, 0.0000)
Cu (0.0461, 0.0461, 0.4024)
Cu (0.3475, 0.3475, 0.3869)
Cu (0.4314, 0.4314, 0.2071)
Cu (0.5000, 0.5000, 0.0000)
Cu (0.5686, 0.5686, 0.7929)
Cu (0.6525, 0.6525, 0.6131)
Cu (0.9539, 0.9539, 0.5976)
Pd (0.2251, 0.2251, 0.8561)
Pd (0.3123, 0.3123, 0.6400)
Pd (0.6877, 0.6877, 0.3600)
Pd (0.7749, 0.7749, 0.1439)

Output
DOS(E_F) = 0.314 states/eV/atom
ΔE_f = 0.08 eV per atom
volume = 175.3 Å³ per cell


No. 3
Entry from the Alexandria database: a geometry-optimized DyIn2SbO8 structure (PBE).

a = 4.9217 Å, b = 6.8331 Å, c = 4.9230 Å
α = 90.00°, β = 90.09°, γ = 90.00°
Atoms (fractional coordinates):
Dy (0.0000, 0.0000, 0.0000)
In (0.5000, 0.2578, 0.5000)
In (0.5000, 0.7422, 0.5000)
Sb (0.0000, 0.5000, 0.0000)
O (0.1885, 0.2774, 0.8125)
O (0.1885, 0.7226, 0.8125)
O (0.2895, 0.5000, 0.2905)
O (0.3163, 0.0000, 0.3177)
O (0.6837, 0.0000, 0.6823)
O (0.7105, 0.5000, 0.7095)
O (0.8115, 0.2774, 0.1875)
O (0.8115, 0.7226, 0.1875)

Output
DOS(E_F) = 0.685 states/eV/atom
volume = 165.6 Å³ per cell
formation energy without anion corrections = -1.63 eV per atom


No. 4
Entry from the Alexandria database: a geometry-optimized Pr3PbBr3 structure (PBE).

a = 11.8250 Å, b = 11.8250 Å, c = 11.8250 Å
α = 36.87°, β = 36.87°, γ = 36.87°
Atoms (fractional coordinates):
Pr (0.0567, 0.3807, 0.7326)
Pr (0.2674, 0.9433, 0.6193)
Pr (0.3807, 0.7326, 0.0567)
Pr (0.6193, 0.2674, 0.9433)
Pr (0.7326, 0.0567, 0.3807)
Pr (0.9433, 0.6193, 0.2674)
Pb (0.3333, 0.3333, 0.3333)
Pb (0.6667, 0.6667, 0.6667)
Br (0.1106, 0.7665, 0.4551)
Br (0.2335, 0.5449, 0.8894)
Br (0.4551, 0.1106, 0.7665)
Br (0.5449, 0.8894, 0.2335)
Br (0.7665, 0.4551, 0.1106)
Br (0.8894, 0.2335, 0.5449)

Output
DOS(E_F) = 0.404 states/eV/atom
volume = 533.1 Å³ per cell
formation energy without anion corrections = -1.21 eV per atom


In the order shown, the computed uncorrected energy values come out to -3.798; -4.199; -6.118; -4.507 eV per atom.